Ag2AsAuSe4: optimized geometry, GGA-PBE.

Values from the calculation:
Formation energy from raw total energies = -29 meV per atom
Space-group type = I-4 (82)
E_tot = -3.4749 eV/atom

Unit cell a=7.2822 b=7.2822 c=7.2822 alpha=131.08 beta=131.08 gamma=71.69
Atoms (fractional coordinates):
Ag 0.0000 0.0000 0.0000
Ag 0.7500 0.2500 0.5000
As 0.2500 0.7500 0.5000
Au 0.5000 0.5000 0.0000
Se 0.1421 0.1071 0.5079
Se 0.3658 0.8579 0.9651
Se 0.5993 0.6342 0.4921
Se 0.8929 0.4007 0.0349


La3AlHg2: optimized geometry, GGA-PBE.

Values from the calculation:
Space-group type = P4/mmm (123)
E_form = -0.453 eV per atom
Offset from the most stable computed form = 0.0000 eV per atom
E_tot = -3.6406 eV/atom

Unit cell a=3.8486 b=3.8486 c=11.7696 alpha=90.00 beta=90.00 gamma=90.00
Atoms (fractional coordinates):
La 0.0000 0.0000 0.0000
La 0.0000 0.0000 0.3433
La 0.0000 0.0000 0.6567
Al 0.5000 0.5000 0.5000
Hg 0.5000 0.5000 0.1712
Hg 0.5000 0.5000 0.8288


CeZnCuIr: optimized geometry, GGA-PBE.

Values from the calculation:
Space-group type = F-43m (216)
E_form = -0.262 eV per atom
E_tot = -5.3030 eV/atom

Unit cell a=4.6670 b=4.6670 c=4.6670 alpha=60.00 beta=60.00 gamma=60.00
Atoms (fractional coordinates):
Ce 0.0000 0.0000 0.0000
Zn 0.5000 0.5000 0.5000
Cu 0.7500 0.7500 0.7500
Ir 0.2500 0.2500 0.2500